No. 1
A plane-wave DFT calculation with PBE-GGA was carried out for crystalline YSb4 at its relaxed geometry.

As for the energy above the lowest structure with this stoichiometry: 0.000 eV/atom. The calculation puts the uncorrected formation energy at -0.12 eV per atom. The crystal system is cubic.

It has space group Im-3m (No. 229), with a = 6.940 Å, b = 6.940 Å, c = 6.940 Å, α = 90.00°, β = 90.00° and γ = 90.00°. The asymmetric unit holds Y at (0.000, 0.000, 0.000) and Sb at (0.250, 0.250, 0.250).

No. 2
A plane-wave DFT calculation with PBE-GGA was carried out for crystalline Y4Sb3 at its relaxed geometry.

As for the energy above the lowest structure with this stoichiometry: 0.124 eV/atom. The calculation puts the uncorrected formation energy at -0.90 eV per atom. The crystal system is trigonal.

It has space group R-3m (No. 166, hexagonal axes), with a = 4.5079 Å, b = 4.5079 Å, c = 36.5515 Å, α = 90.00°, β = 90.00° and γ = 120.00°. The asymmetric unit holds Y at (0.0000, 0.0000, 0.1217), Y at (0.0000, 0.0000, 0.3658), Sb at (0.0000, 0.0000, 0.2607) and Sb at (0.0000, 0.0000, 0.5000).